[1]
The following is a PBE-GGA calculation of PdN3O after structural relaxation, from the Alexandria database.

Properties
M_tot ... 4.4 μB per formula unit

extended XYZ file:
```
5
Lattice="3.961 0.000 0.000 0.000 3.961 0.000 0.000 0.000 3.961" Properties=species:S:1:pos:R:3 pbc="T T T"
Pd 0.000 0.000 0.000
N 0.000 0.000 1.980
N 0.000 1.980 0.000
N 1.980 0.000 0.000
O 1.980 1.980 1.980
```

=====

[2]
The following is a PBE-GGA calculation of PdN3O after structural relaxation, from the Alexandria database.

Properties
M_tot ... 0.0 μB per formula unit

extended XYZ file:
```
5
Lattice="3.525 0.000 0.000 0.000 3.525 0.000 0.000 0.000 3.525" Properties=species:S:1:pos:R:3 pbc="T T T"
Pd 0.000 0.000 0.000
N 0.000 1.762 1.762
N 1.762 0.000 1.762
N 1.762 1.762 0.000
O 1.762 1.762 1.762
```

=====

[3]
The following is a PBE-GGA calculation of Pd3NO after structural relaxation, from the Alexandria database.

Properties
ΔE to the lowest computed polymorph ... 0 meV/atom
M_tot ... 0.0 μB per formula unit

extended XYZ file:
```
5
Lattice="4.075 0.000 0.000 0.000 4.075 0.000 0.000 0.000 4.075" Properties=species:S:1:pos:R:3 pbc="T T T"
Pd 0.000 0.000 2.037
Pd 0.000 2.037 0.000
Pd 2.037 0.000 0.000
N 0.000 0.000 0.000
O 2.037 2.037 2.037
```

=====

[4]
The following is a PBE-GGA calculation of Pd2NO after structural relaxation, from the Alexandria database.

Properties
ΔE to the lowest computed polymorph ... 0 meV/atom
M_tot ... 0.0 μB per formula unit

extended XYZ file:
```
8
Lattice="-2.207 2.207 5.572 2.207 -2.207 5.572 2.207 2.207 -5.572" Properties=species:S:1:pos:R:3 pbc="T T T"
Pd 3.310 0.904 -1.393
Pd 0.904 1.103 1.393
Pd -1.103 1.303 4.179
Pd 1.303 1.103 6.965
N 0.000 0.000 0.000
N 0.000 2.207 2.786
O 2.207 0.000 2.786
O 0.000 0.000 5.572
```

=====

Asked for formation energy from raw total energies across the records above, the calculation gives 2.649, 2.681, 0.614, 0.472 eV/atom in order.